Entry 1:
First-principles (GGA-PBE) data for a relaxed Zn5Cr crystal, as listed in the Alexandria database.

abc: 3.968 3.881 6.016
angles: 108.82 90.00 90.00
Last column: magnetic moment on the atom in μB.
Positions (direct):
Zn 0.000 0.668 0.337  -0.03
Zn 0.500 0.500 0.000  -0.04
Zn 0.000 0.332 0.663  -0.03
Zn 0.500 0.164 0.328  -0.01
Zn 0.500 0.836 0.672  -0.01
Cr 0.000 0.000 0.000  3.08

Summary:
- spin magnetization (μB/f.u.) = 3.1
- V (Å³/f.u.) = 88
- DFT formation energy (eV per formula unit) = 0.356
- DFT total energy (eV per atom) = -2.61

***

Entry 2:
First-principles (GGA-PBE) data for a relaxed ZnCr4 crystal, as listed in the Alexandria database.

abc: 4.763 4.763 4.763
angles: 90.00 90.00 90.00
Last column: magnetic moment on the atom in μB.
Positions (direct):
Cr 0.500 0.500 0.000  3.67
Cr 0.500 0.000 0.500  3.67
Cr 0.000 0.500 0.500  3.67
Cr 0.000 0.000 0.000  4.00
Zn 0.500 0.500 0.500  0.07

Summary:
- spin magnetization (μB/f.u.) = 17.1
- V (Å³/f.u.) = 108
- DFT formation energy (eV per formula unit) = 8.248
- DFT total energy (eV per atom) = -6.30

***

Entry 3:
First-principles (GGA-PBE) data for a relaxed ZnCr3 crystal, as listed in the Alexandria database.

abc: 2.397 4.451 4.760
angles: 93.30 90.00 74.38
Positions (direct):
Cr 0.505 0.990 0.501
Cr 0.750 0.500 0.750
Cr 0.995 0.010 0.999
Zn 0.250 0.500 0.250

Summary:
- spin magnetization (μB/f.u.) = 0.0
- V (Å³/f.u.) = 49
- DFT formation energy (eV per formula unit) = 1.173
- DFT total energy (eV per atom) = -7.24

***

Question: Among the records above, which one has the lowest DFT total energy?
Answer: ZnCr3